Material: TaOs
Method: DFT, SCAN
State: single point on PBEsol structure

POSCAR file:
```
TaOs
1.0
2.8614 0.0000 0.0000
-1.4307 2.4780 0.0000
0.0000 0.0000 4.4197
Ta Os
1 1
Cartesian
0.0000 0.0000 0.0000 Ta
0.0000 1.6520 2.2098 Os
```

## Properties
As for the total moment: 0.0 μB/cell. The final energy comes out at -69.193 eV per atom. Its space-group type is P-6m2 (187). As for the calculated formation energy: 0.1 eV/f.u.



Material: Ni3AgP3H2O12
Method: DFT, SCAN
State: single point on PBEsol structure

POSCAR file:
```
Ni3AgP3H2O12
1.0
5.8472 -6.0042 0.0000
5.8472 6.0042 0.0000
-2.6090 0.0000 5.8570
Ni Ag P H O
6 2 6 4 24
Cartesian
1.1057 1.9574 5.1586 Ni
3.8904 3.3348 4.3927 Ni
2.4102 -1.9574 2.2301 Ni
6.6752 1.9574 3.6268 Ni
5.1949 -3.3348 1.4642 Ni
7.9797 -1.9574 0.6983 Ni
5.1949 0.4976 1.4642 Ag
3.8904 -0.4976 4.3927 Ag
2.2367 1.3677 2.2710 P
5.1949 3.8257 1.4642 P
0.9322 -1.3677 5.1995 P
8.1532 1.3677 0.6574 P
3.8904 -3.8257 4.3927 P
6.8487 -1.3677 3.5859 P
0.5325 0.0159 1.7897 H
-0.7720 -0.0159 4.7181 H
9.8574 0.0159 1.1388 H
8.5529 -0.0159 4.0673 H
-0.7168 1.2483 4.4946 O
0.6951 1.1223 2.0079 O
2.8104 2.2047 1.1092 O
2.4130 2.0999 3.6201 O
0.5877 -1.2483 1.5661 O
5.3563 2.9286 0.2018 O
-0.6093 -1.1223 4.9364 O
5.0336 2.9286 2.7267 O
2.9452 -0.0010 2.3155 O
1.6407 0.0010 5.2440 O
1.5059 -2.2047 4.0377 O
5.3679 2.0999 5.1654 O
3.7174 -2.0999 0.6916 O
7.5794 2.2047 1.8193 O
7.4447 -0.0010 0.6130 O
6.1402 0.0010 3.5414 O
4.0518 -2.9286 3.1303 O
9.6947 1.1223 0.9206 O
3.7291 -2.9286 5.6552 O
8.4977 1.2483 4.2908 O
6.6724 -2.0999 2.2369 O
6.2749 -2.2047 4.7477 O
8.3902 -1.1223 3.8490 O
9.8022 -1.2483 1.3624 O
```

## Properties
As for the total moment: 12.0 μB/cell. The final energy comes out at -11.023 eV per atom. Its space-group type is C2/c (15).



Material: LiCd2Pd
Method: DFT, SCAN
State: single point on PBEsol structure

POSCAR file:
```
LiCd2Pd
1.0
6.4365 0.0000 0.0000
0.0000 6.4365 0.0000
0.0000 0.0000 6.4365
Li Cd Pd
4 8 4
Cartesian
0.0000 0.0000 0.0000 Li
0.0000 3.2182 3.2182 Li
3.2182 0.0000 3.2182 Li
3.2182 3.2182 0.0000 Li
1.6091 1.6091 1.6091 Cd
1.6091 1.6091 4.8274 Cd
1.6091 4.8274 1.6091 Cd
1.6091 4.8274 4.8274 Cd
4.8274 1.6091 1.6091 Cd
4.8274 1.6091 4.8274 Cd
4.8274 4.8274 1.6091 Cd
4.8274 4.8274 4.8274 Cd
0.0000 0.0000 3.2182 Pd
0.0000 3.2182 0.0000 Pd
3.2182 0.0000 0.0000 Pd
3.2182 3.2182 3.2182 Pd
```

## Properties
As for the total moment: 0.0 μB/cell. The final energy comes out at -24.427 eV per atom. Its space-group type is Fm-3m (225). As for the calculated formation energy: -1.7 eV/f.u.